The following is a DFT calculation (GGA-PBE) of a relaxed structure of Tl4Mo.

Calculated values
Total moment   0.0 μB per cell
Space-group type   Pm-3m
VASP energy   -17.75 eV/cell
Density   9494 kg/m³
E_form   0.51 eV per atom
Crystal system   cubic

Geometry as POSCAR:
```
Tl4Mo
1.0
-1.7489 -4.0055 -3.2158
-2.8337 -2.0811 4.1332
-4.2843 3.0115 -1.4210
Tl Mo
4 1
Direct
0.0000 0.5000 0.5000
0.0000 0.0000 0.0000
0.5000 0.5000 0.0000
0.5000 0.0000 0.5000
0.5000 0.5000 0.5000
```